A plane-wave DFT calculation with PBE was carried out for a relaxed Cs2RbGaBr6 crystal.

Cell lengths 8.2689, 8.2689, 8.2689 Å; angles 60.00, 60.00, 60.00 degrees
Fractional coordinates of all 10 atoms:
Br  0.7798  0.2202  0.2202
Br  0.7798  0.2202  0.7798
Br  0.2202  0.7798  0.7798
Br  0.7798  0.7798  0.2202
Br  0.2202  0.7798  0.2202
Br  0.2202  0.2202  0.7798
Cs  0.2500  0.2500  0.2500
Cs  0.7500  0.7500  0.7500
Rb  0.5000  0.5000  0.5000
Ga  0.0000  0.0000  0.0000

Results
raw formation energy	-1364	meV/atom
crystal system	cubic



A plane-wave DFT calculation with PBE was carried out for a relaxed CsRb2GaBr4 crystal.

Cell lengths 5.1486, 8.6883, 16.6722 Å; angles 90.00, 90.00, 107.24 degrees
Fractional coordinates of all 16 atoms:
Br  0.7369  0.4738  0.6249
Br  0.2631  0.5262  0.1249
Br  0.7369  0.4738  0.8751
Br  0.2631  0.5262  0.3751
Br  0.5432  0.0865  0.2500
Br  0.0000  0.0000  0.0000
Br  0.0000  0.0000  0.5000
Br  0.4568  0.9135  0.7500
Ga  0.8566  0.7132  0.7500
Ga  0.1434  0.2868  0.2500
Cs  0.8819  0.7638  0.2500
Cs  0.1181  0.2362  0.7500
Rb  0.6269  0.2537  0.4486
Rb  0.3731  0.7463  0.5514
Rb  0.3731  0.7463  0.9486
Rb  0.6269  0.2537  0.0514

Results
raw formation energy	-1425	meV/atom
crystal system	orthorhombic



A plane-wave DFT calculation with PBE was carried out for a relaxed CsGaReBr2 crystal.

Cell lengths 6.5975, 5.7399, 6.5975 Å; angles 90.00, 90.00, 90.00 degrees
Each line ends with the local moment (μB).
Fractional coordinates of all 5 atoms:
Ga  0.5000  0.5000  0.5000  -0.01
Br  0.0000  0.0000  0.5000  0.04
Br  0.5000  0.0000  0.0000  0.04
Cs  0.0000  0.0000  0.0000  0.06
Re  0.0000  0.5000  0.0000  3.56

Results
raw formation energy	1233	meV/atom
crystal system	tetragonal



A plane-wave DFT calculation with PBE was carried out for a relaxed Cs2GaRhBr6 crystal.

Cell lengths 7.7354, 7.7354, 7.7286 Å; angles 59.97, 59.97, 90.00 degrees
Fractional coordinates of all 10 atoms:
Rh  0.0000  0.0000  0.0000
Cs  0.7500  0.2500  0.5000
Cs  0.2500  0.7500  0.5000
Ga  0.5000  0.5000  0.0000
Br  0.7669  0.2331  0.0000
Br  0.2336  0.2336  0.5327
Br  0.2331  0.7669  0.0000
Br  0.7669  0.7669  0.0000
Br  0.7664  0.7664  0.4673
Br  0.2331  0.2331  0.0000

Results
raw formation energy	-1021	meV/atom
crystal system	tetragonal